(1)
Below is a relaxed structure of Fe2MoAu, with properties calculated at the PBE-GGA level. Values from VASP.

Quantum ESPRESSO input file:
```
&SYSTEM
  ibrav = 0, nat = 4, ntyp = 3
/
ATOMIC_SPECIES
Fe 55.84 Fe.upf
Mo 95.94 Mo.upf
Au 196.97 Au.upf
CELL_PARAMETERS angstrom
2.693 0.000 0.000
0.000 3.957 0.000
-0.704 0.000 5.383
ATOMIC_POSITIONS crystal
Fe 0.000 0.000 0.000
Fe 0.413 0.500 0.217
Mo 0.864 0.000 0.437
Au 0.448 0.500 0.731
```

Formation enthalpy at 0 K = 0.22 eV/atom
Symmetry = Pm
Calculated total energy = -7.5393 eV/atom

---

(2)
Below is a relaxed structure of TlPb, with properties calculated at the PBE-GGA level. Values from VASP.

Quantum ESPRESSO input file:
```
&SYSTEM
  ibrav = 0, nat = 2, ntyp = 2
/
ATOMIC_SPECIES
Tl 204.38 Tl.upf
Pb 207.20 Pb.upf
CELL_PARAMETERS angstrom
3.586 0.000 0.000
-1.793 3.106 0.000
0.000 0.000 5.594
ATOMIC_POSITIONS crystal
Tl 0.000 0.000 0.000
Pb 0.333 0.667 0.500
```

Formation enthalpy at 0 K = 0.03 eV/atom
Symmetry = P-6m2
Calculated total energy = -3.0105 eV/atom

---

(3)
Below is a relaxed structure of Sr3NbSe, with properties calculated at the PBE-GGA level. Values from VASP.

Quantum ESPRESSO input file:
```
&SYSTEM
  ibrav = 0, nat = 5, ntyp = 3
/
ATOMIC_SPECIES
Sr 87.62 Sr.upf
Nb 92.91 Nb.upf
Se 78.96 Se.upf
CELL_PARAMETERS angstrom
5.899 0.000 0.000
0.000 5.899 0.000
0.000 0.000 5.899
ATOMIC_POSITIONS crystal
Sr 0.000 0.000 0.500
Sr 0.000 0.500 0.000
Sr 0.500 0.000 0.000
Nb 0.500 0.500 0.500
Se 0.000 0.000 0.000
```

Symmetry = Pm-3m
Calculated total energy = -3.7009 eV/atom
E_form (uncorrected) = 19 meV per atom

---

(4)
Below is a relaxed structure of KCd4In2, with properties calculated at the PBE-GGA level. Values from VASP.

Quantum ESPRESSO input file:
```
&SYSTEM
  ibrav = 0, nat = 7, ntyp = 3
/
ATOMIC_SPECIES
K 39.10 K.upf
Cd 112.41 Cd.upf
In 114.82 In.upf
CELL_PARAMETERS angstrom
2.363 -8.572 0.000
2.363 8.572 0.000
0.000 0.000 4.788
ATOMIC_POSITIONS crystal
K 0.000 0.000 0.000
Cd 0.190 0.810 0.500
Cd 0.312 0.688 0.000
Cd 0.688 0.312 0.000
Cd 0.810 0.190 0.500
In 0.413 0.587 0.500
In 0.587 0.413 0.500
```

Formation enthalpy at 0 K = -0.06 eV/atom
Symmetry = Cmmm
Calculated total energy = -1.5196 eV/atom

---

(5)
Below is a relaxed structure of Pm3Pb2F, with properties calculated at the PBE-GGA level. Values from VASP.

Quantum ESPRESSO input file:
```
&SYSTEM
  ibrav = 0, nat = 12, ntyp = 3
/
ATOMIC_SPECIES
Pm 145.00 Pm.upf
Pb 207.20 Pb.upf
F 19.00 F.upf
CELL_PARAMETERS angstrom
6.588 -3.162 0.000
6.588 3.162 0.000
-1.341 0.000 8.440
ATOMIC_POSITIONS crystal
Pm 0.125 0.875 0.750
Pm 0.228 0.447 0.329
Pm 0.447 0.228 0.829
Pm 0.553 0.772 0.171
Pm 0.772 0.553 0.671
Pm 0.875 0.125 0.250
Pb 0.067 0.251 0.015
Pb 0.251 0.067 0.515
Pb 0.749 0.933 0.485
Pb 0.933 0.749 0.985
F 0.493 0.507 0.750
F 0.507 0.493 0.250
```

Symmetry = C2/c
Calculated total energy = -5.1060 eV/atom
E_form (uncorrected) = -1183 meV per atom

---

(6)
Below is a relaxed structure of OsAu, with properties calculated at the PBE-GGA level. Values from VASP.

Quantum ESPRESSO input file:
```
&SYSTEM
  ibrav = 0, nat = 2, ntyp = 2
/
ATOMIC_SPECIES
Os 190.23 Os.upf
Au 196.97 Au.upf
CELL_PARAMETERS angstrom
0.000 2.675 2.675
2.675 0.000 2.675
2.675 2.675 0.000
ATOMIC_POSITIONS crystal
Os 0.000 0.000 0.000
Au 0.500 0.500 0.500
```

Formation enthalpy at 0 K = 1.71 eV/atom
Symmetry = Fm-3m
Calculated total energy = -5.5470 eV/atom

---

(7)
Below is a relaxed structure of KGa2SnO6, with properties calculated at the PBE-GGA level. Values from VASP.

Quantum ESPRESSO input file:
```
&SYSTEM
  ibrav = 0, nat = 20, ntyp = 4
/
ATOMIC_SPECIES
K 39.10 K.upf
Ga 69.72 Ga.upf
Sn 118.71 Sn.upf
O 16.00 O.upf
CELL_PARAMETERS angstrom
4.625 -6.047 0.000
4.625 6.047 0.000
-2.627 0.000 5.877
ATOMIC_POSITIONS crystal
K 0.103 0.897 0.750
K 0.897 0.103 0.250
Ga 0.286 0.450 0.856
Ga 0.450 0.286 0.356
Ga 0.550 0.714 0.644
Ga 0.714 0.550 0.144
Sn 0.198 0.802 0.250
Sn 0.802 0.198 0.750
O 0.060 0.234 0.714
O 0.192 0.644 0.956
O 0.234 0.060 0.214
O 0.356 0.808 0.544
O 0.361 0.430 0.580
O 0.430 0.361 0.080
O 0.570 0.639 0.920
O 0.639 0.570 0.420
O 0.644 0.192 0.456
O 0.766 0.940 0.786
O 0.808 0.356 0.044
O 0.940 0.766 0.286
```

Symmetry = C2/c
Calculated total energy = -5.5784 eV/atom
E_form (uncorrected) = -1488 meV per atom

---

(8)
Below is a relaxed structure of Ba2PIr, with properties calculated at the PBE-GGA level. Values from VASP.

Quantum ESPRESSO input file:
```
&SYSTEM
  ibrav = 0, nat = 4, ntyp = 3
/
ATOMIC_SPECIES
Ba 137.33 Ba.upf
P 30.97 P.upf
Ir 192.22 Ir.upf
CELL_PARAMETERS angstrom
5.107 0.000 0.000
0.000 5.107 0.000
0.000 0.000 4.303
ATOMIC_POSITIONS crystal
Ba 0.000 0.500 0.000
Ba 0.500 0.000 0.000
P 0.000 0.000 0.500
Ir 0.500 0.500 0.500
```

Formation enthalpy at 0 K = -0.10 eV/atom
Symmetry = P4/mmm
Calculated total energy = -4.6298 eV/atom

---

(9)
Below is a relaxed structure of CdRe3Br, with properties calculated at the PBE-GGA level. Values from VASP.

Quantum ESPRESSO input file:
```
&SYSTEM
  ibrav = 0, nat = 5, ntyp = 3
/
ATOMIC_SPECIES
Cd 112.41 Cd.upf
Re 186.21 Re.upf
Br 79.90 Br.upf
CELL_PARAMETERS angstrom
5.188 0.000 0.000
0.000 5.188 0.000
0.000 0.000 5.188
ATOMIC_POSITIONS crystal
Cd 0.000 0.000 0.000
Re 0.000 0.000 0.500
Re 0.000 0.500 0.000
Re 0.500 0.000 0.000
Br 0.500 0.500 0.500
```

Symmetry = Pm-3m
Calculated total energy = -4.6484 eV/atom
E_form (uncorrected) = 3338 meV per atom

---

(10)
Below is a relaxed structure of Si2PSe6, with properties calculated at the PBE-GGA level. Values from VASP.

Quantum ESPRESSO input file:
```
&SYSTEM
  ibrav = 0, nat = 18, ntyp = 3
/
ATOMIC_SPECIES
Si 28.09 Si.upf
P 30.97 P.upf
Se 78.96 Se.upf
CELL_PARAMETERS angstrom
6.564 -6.660 0.000
6.564 6.660 0.000
-2.416 0.000 5.694
ATOMIC_POSITIONS crystal
Si 0.138 0.299 0.358
Si 0.299 0.138 0.858
Si 0.701 0.862 0.142
Si 0.862 0.701 0.642
P 0.294 0.706 0.750
P 0.706 0.294 0.250
Se 0.093 0.243 0.675
Se 0.093 0.678 0.891
Se 0.243 0.093 0.175
Se 0.285 0.508 0.398
Se 0.322 0.907 0.609
Se 0.492 0.715 0.102
Se 0.508 0.285 0.898
Se 0.678 0.093 0.391
Se 0.715 0.492 0.602
Se 0.757 0.907 0.825
Se 0.907 0.322 0.109
Se 0.907 0.757 0.325
```

Symmetry = C2/c
Calculated total energy = -4.2973 eV/atom
E_form (uncorrected) = -168 meV per atom

---

(11)
Below is a relaxed structure of PuTcOs, with properties calculated at the PBE-GGA level. Values from VASP.

Quantum ESPRESSO input file:
```
&SYSTEM
  ibrav = 0, nat = 6, ntyp = 3
/
ATOMIC_SPECIES
Pu 244.00 Pu.upf
Tc 98.00 Tc.upf
Os 190.23 Os.upf
CELL_PARAMETERS angstrom
-2.499 2.731 3.976
2.499 -2.731 3.976
2.499 2.731 -3.976
ATOMIC_POSITIONS crystal
Pu 0.379 0.129 0.250
Pu 0.621 0.871 0.750
Tc 0.000 0.000 0.500
Tc 0.000 0.500 0.000
Os 0.000 0.500 0.500
Os 0.500 0.500 0.000
```

Formation enthalpy at 0 K = -0.03 eV/atom
Symmetry = Imma
Calculated total energy = -12.0070 eV/atom

---

(12)
Below is a relaxed structure of CrRu2W, with properties calculated at the PBE-GGA level. Values from VASP.

Quantum ESPRESSO input file:
```
&SYSTEM
  ibrav = 0, nat = 4, ntyp = 3
/
ATOMIC_SPECIES
Cr 52.00 Cr.upf
Ru 101.07 Ru.upf
W 183.84 W.upf
CELL_PARAMETERS angstrom
0.000 3.076 3.076
3.076 0.000 3.076
3.076 3.076 0.000
ATOMIC_POSITIONS crystal
Cr 0.000 0.000 0.000
Ru 0.250 0.250 0.250
Ru 0.750 0.750 0.750
W 0.500 0.500 0.500
```

Formation enthalpy at 0 K = 0.16 eV/atom
Symmetry = Fm-3m
Calculated total energy = -10.1260 eV/atom